[1]
A relaxed structure of TcBiTe2Ir, computed with PBE.

abc: 5.0514 5.0514 5.2577
angles: 90.00 90.00 90.00
With the nearest neighbours (Å) after each atom.
Fractional coordinates of all 5 atoms:
Tc 0.0000 0.0000 0.0000  4 Te 2.53, 2 Bi 2.63
Bi 0.0000 0.0000 0.5000  2 Tc 2.63
Te 0.0000 0.5000 0.0000  2 Tc 2.53
Te 0.5000 0.0000 0.0000  2 Tc 2.53
Ir 0.5000 0.5000 0.5000  4 Bi 3.57, 8 Te 3.65

Results
SG ... P4/mmm
Energy relative to the elements, uncorrected ... 1.18 eV/atom

***

[2]
A relaxed structure of ZrTc2BiIr, computed with PBE.

abc: 4.9130 4.9130 4.8356
angles: 90.00 90.00 90.00
With the nearest neighbours (Å) after each atom.
Fractional coordinates of all 5 atoms:
Zr 0.0000 0.0000 0.0000  8 Tc 3.45, 4 Ir 3.47
Tc 0.0000 0.5000 0.5000  2 Bi 2.46
Tc 0.5000 0.0000 0.5000  2 Bi 2.46
Bi 0.5000 0.5000 0.5000  2 Ir 2.42, 4 Tc 2.46
Ir 0.5000 0.5000 0.0000  2 Bi 2.42

Results
SG ... P4/mmm
E_form ... 1.7569 eV per atom

***

[3]
A relaxed structure of BiTe2Ir, computed with PBE.

abc: 12.6692 12.6692 12.6692
angles: 14.45 14.45 14.45
With the nearest neighbours (Å) after each atom.
Fractional coordinates of all 4 atoms:
Bi 0.0000 0.0000 0.0000  6 Bi 3.19
Te 0.4316 0.4316 0.4316  1 Ir 2.57
Te 0.5684 0.5684 0.5684  1 Ir 2.57
Ir 0.5000 0.5000 0.5000  2 Te 2.57

Results
SG ... R-3m
Energy relative to the elements, uncorrected ... 0.50 eV/atom

***

[4]
A relaxed structure of BiTeIr, computed with PBE.

abc: 7.8179 6.8850 8.6135
angles: 59.34 49.25 71.40
With the nearest neighbours (Å) after each atom.
Fractional coordinates of all 12 atoms:
Bi 0.3216 0.6784 0.5350  3 Ir 2.77-2.79, 1 Bi 3.02
Bi 0.6784 0.3216 0.4650  3 Ir 2.77-2.79, 1 Bi 3.02
Bi 0.7150 0.7850 0.9284  3 Ir 2.77-2.79, 1 Bi 3.02
Bi 0.7850 0.7150 0.5716  3 Ir 2.77-2.79, 1 Bi 3.02
Te 0.1776 0.8156 0.9501  3 Ir 2.63-2.68
Te 0.1934 0.2999 0.4344  3 Ir 2.63-2.68
Te 0.2999 0.1934 0.0724  3 Ir 2.63-2.68
Te 0.8156 0.1776 0.0566  3 Ir 2.63-2.68
Ir 0.0155 0.4807 0.0028  3 Te 2.63-2.68, 3 Bi 2.77-2.79
Ir 0.2472 0.7490 0.2345  3 Te 2.63-2.68, 3 Bi 2.77-2.79
Ir 0.4807 0.0155 0.5010  3 Te 2.63-2.68, 3 Bi 2.77-2.79
Ir 0.7490 0.2472 0.7693  3 Te 2.63-2.68, 3 Bi 2.77-2.79

Results
SG ... Fdd2
Energy relative to the elements, uncorrected ... -0.16 eV/atom

***

[5]
A relaxed structure of BiTe2Ir, computed with PBE.

abc: 3.7948 8.2759 6.8228
angles: 90.00 105.99 90.00
With the nearest neighbours (Å) after each atom.
Fractional coordinates of all 8 atoms:
Bi 0.0838 0.2500 0.1636  2 Ir 2.90
Bi 0.9162 0.7500 0.8364  2 Ir 2.90
Te 0.3513 0.0596 0.7061  3 Ir 2.81-2.89, 1 Te 3.15
Te 0.3513 0.4404 0.7061  3 Ir 2.81-2.89, 1 Te 3.15
Te 0.6487 0.5596 0.2939  3 Ir 2.81-2.89, 1 Te 3.15
Te 0.6487 0.9404 0.2939  3 Ir 2.81-2.89, 1 Te 3.15
Ir 0.2499 0.7500 0.5019  6 Te 2.81-2.89, 2 Bi 2.90
Ir 0.7501 0.2500 0.4981  6 Te 2.81-2.89, 2 Bi 2.90

Results
SG ... P2_1/m
Energy relative to the elements, uncorrected ... 0.09 eV/atom

***

[6]
A relaxed structure of BiTeIr2, computed with PBE.

abc: 4.8266 4.8266 4.8266
angles: 60.00 60.00 60.00
With the nearest neighbours (Å) after each atom.
Fractional coordinates of all 4 atoms:
Bi 0.0000 0.0000 0.0000  8 Ir 2.96
Te 0.5000 0.5000 0.5000  8 Ir 2.96
Ir 0.2500 0.2500 0.2500  4 Te 2.96, 4 Bi 2.96
Ir 0.7500 0.7500 0.7500  4 Te 2.96, 4 Bi 2.96

Results
SG ... Fm-3m
Energy relative to the elements, uncorrected ... 0.53 eV/atom

***

Number 1: E_tot -23.51 eV/cell. Number 2: E_tot -33.24 eV/cell. Number 3: E_tot -17.02 eV/cell. Number 4: E_tot -65.50 eV/cell. Number 5: E_tot -37.35 eV/cell. Number 6: E_tot -22.62 eV/cell.